one) # GGA-PBEsol SrLa2Y, optimized geometry
# DOS(E_F) = 14.041 states/eV per cell
# Size of the total moment = 0.00 Bohr magnetons per cell
data_SrLa2Y
_chemical_formula_sum 'Sr3 La6 Y3'
_cell_length_a 3.6949
_cell_length_b 3.6949
_cell_length_c 36.8256
_cell_angle_alpha 90.00
_cell_angle_beta 90.00
_cell_angle_gamma 120.00
_symmetry_space_group_name_H-M 'R -3 m'
_symmetry_Int_Tables_number 166
_symmetry_space_group_name_Hall '-R 3 2"'
loop_
_atom_site_label
_atom_site_type_symbol
_atom_site_fract_x
_atom_site_fract_y
_atom_site_fract_z
Sr1 Sr 0.0000 0.0000 0.0000
La1 La 0.0000 0.0000 0.2437
Y1 Y 0.0000 0.0000 0.5000

two) # GGA-PBEsol SrLa2Y, optimized geometry
# DOS(E_F) = 5.451 states/eV per cell
# Size of the total moment = 0.00 Bohr magnetons per cell
data_SrLa2Y
_chemical_formula_sum 'Sr1 La2 Y1'
_cell_length_a 3.7072
_cell_length_b 5.0388
_cell_length_c 7.8633
_cell_angle_alpha 90.00
_cell_angle_beta 90.00
_cell_angle_gamma 90.00
_symmetry_space_group_name_H-M 'P m m m'
_symmetry_Int_Tables_number 47
loop_
_symmetry_equiv_pos_as_xyz
'x,y,z'
'-x,-y,-z'
'-x,-y,z'
'x,y,-z'
'x,-y,-z'
'-x,y,z'
'-x,y,-z'
'x,-y,z'
loop_
_atom_site_label
_atom_site_type_symbol
_atom_site_fract_x
_atom_site_fract_y
_atom_site_fract_z
Sr1 Sr 0.0000 0.0000 0.0000
La1 La 0.5000 0.5000 0.2865
Y1 Y 0.0000 0.0000 0.5000

three) # GGA-PBEsol SrLa2Y, optimized geometry
# DOS(E_F) = 6.027 states/eV per cell
# Size of the total moment = 0.00 Bohr magnetons per cell
data_SrLa2Y
_chemical_formula_sum 'Sr1 La2 Y1'
_cell_length_a 3.6730
_cell_length_b 3.6730
_cell_length_c 10.8320
_cell_angle_alpha 90.00
_cell_angle_beta 90.00
_cell_angle_gamma 90.00
_symmetry_space_group_name_H-M 'P 4/m m m'
_symmetry_Int_Tables_number 123
_symmetry_space_group_name_Hall '-P 4 2'
loop_
_atom_site_label
_atom_site_type_symbol
_atom_site_fract_x
_atom_site_fract_y
_atom_site_fract_z
Sr1 Sr 0.0000 0.0000 0.0000
La1 La 0.5000 0.5000 0.2755
Y1 Y 0.0000 0.0000 0.5000

four) # GGA-PBEsol SrLa2Y, optimized geometry
# DOS(E_F) = 30.832 states/eV per cell
# Size of the total moment = 3.50 Bohr magnetons per cell
data_SrLa2Y
_chemical_formula_sum 'Sr4 La8 Y4'
_cell_length_a 8.3772
_cell_length_b 8.3772
_cell_length_c 8.3772
_cell_angle_alpha 90.00
_cell_angle_beta 90.00
_cell_angle_gamma 90.00
_symmetry_space_group_name_H-M 'F -4 3 m'
_symmetry_Int_Tables_number 216
_symmetry_space_group_name_Hall 'F -4 2 3'
loop_
_atom_site_label
_atom_site_type_symbol
_atom_site_fract_x
_atom_site_fract_y
_atom_site_fract_z
Sr1 Sr 0.0000 0.0000 0.0000
La1 La 0.0000 0.0000 0.5000
La2 La 0.2500 0.2500 0.2500
Y1 Y 0.2500 0.2500 0.7500

Tell me which of them is the least stable. Sure, it is four).

one) # GGA-PBEsol Sr2LaZr, optimized geometry
# DOS(E_F) = 6.032 states/eV per cell
# Size of the total moment = 0.00 Bohr magnetons per cell
data_Sr2LaZr
_chemical_formula_sum 'Sr2 La1 Zr1'
_cell_length_a 3.9986
_cell_length_b 3.9986
_cell_length_c 9.3825
_cell_angle_alpha 90.00
_cell_angle_beta 90.00
_cell_angle_gamma 90.00
_symmetry_space_group_name_H-M 'P 4 m m'
_symmetry_Int_Tables_number 99
loop_
_symmetry_equiv_pos_as_xyz
'x,y,z'
'-y,x,z'
'-x,-y,z'
'y,-x,z'
'-x,y,z'
'y,x,z'
'x,-y,z'
'-y,-x,z'
loop_
_atom_site_label
_atom_site_type_symbol
_atom_site_fract_x
_atom_site_fract_y
_atom_site_fract_z
Sr1 Sr 0.0000 0.0000 0.0000
Sr2 Sr 0.5000 0.5000 0.3377
La1 La 0.5000 0.5000 0.7207
Zr1 Zr 0.0000 0.0000 0.5893

two) # GGA-PBEsol Sr2LaZr, optimized geometry
# DOS(E_F) = 7.404 states/eV per cell
# Size of the total moment = 1.62 Bohr magnetons per cell
data_Sr2LaZr
_chemical_formula_sum 'Sr2 La1 Zr1'
_cell_length_a 4.2696
_cell_length_b 4.2696
_cell_length_c 7.9025
_cell_angle_alpha 90.00
_cell_angle_beta 90.00
_cell_angle_gamma 90.00
_symmetry_space_group_name_H-M 'P 4/m m m'
_symmetry_Int_Tables_number 123
_symmetry_space_group_name_Hall '-P 4 2'
loop_
_atom_site_label
_atom_site_type_symbol
_atom_site_fract_x
_atom_site_fract_y
_atom_site_fract_z
Sr1 Sr 0.0000 0.0000 0.2277
La1 La 0.5000 0.5000 0.5000
Zr1 Zr 0.5000 0.5000 0.0000

Tell me which of them is the least stable. Sure, it is two).